This record from the Alexandria database describes a relaxed Mo3PPt crystal. The functional is PBE.

Unit cell a=4.4092 b=4.4092 c=4.4092 alpha=90.00 beta=90.00 gamma=90.00
Last column: nearest neighbours and their distance in Å.
Space group Pm-3m (No. 221)
Inequivalent atoms, fractional coordinates:
Mo  0.0000  0.0000  0.5000 [3 per cell]  2 P 2.20
P  0.0000  0.0000  0.0000 [1 per cell]  6 Mo 2.20
Pt  0.5000  0.5000  0.5000 [1 per cell]  12 Mo 3.12

## Properties
ΔE_f = 0.534 eV/atom